GGA-PBE K8Rb2Sr, optimized geometry; calculated density = 1.10 g/cm³; energy of formation = 8.7 kJ/mol of atoms
1.0
6.9081 -0.1046 0.1148
0.0485 12.0736 6.2883
-0.1748 1.8055 11.2699
K Rb Sr
8 2 1
Direct
0.4987 0.7044 0.2544
0.4987 0.9588 0.7456
0.9990 0.6720 0.0000
0.0000 0.7575 0.4789
0.0000 0.2364 0.5211
0.0010 0.3218 0.0000
0.5013 0.0350 0.2544
0.5013 0.2895 0.7456
0.5000 0.3751 0.2436
0.5000 0.6187 0.7564
0.0000 0.9969 0.0000

GGA-PBE InW3, optimized geometry; calculated density = 15.88 g/cm³; energy of formation = 57.2 kJ/mol of atoms
1.0
-2.6446 -0.7065 0.6844
0.9696 -2.2034 1.4719
0.5147 5.0095 7.1602
In W
1 3
Direct
0.0000 0.0000 0.0000
0.5000 0.5000 0.7382
0.0000 0.0000 0.5000
0.5000 0.5000 0.2618

GGA-PBE Pr4SmY5, optimized geometry; distance to the lowest polymorph of the same formula = 4.01 kcal/mol of atoms; calculated density = 5.44 g/cm³; energy of formation = 18.2 kJ/mol of atoms
1.0
-0.7693 -0.9341 3.3626
9.1885 -6.6391 0.2544
5.1417 7.1684 1.2678
Pr Sm Y
4 1 5
Direct
0.6536 0.2500 0.3103
0.9681 0.2503 0.9380
0.3464 0.7500 0.6897
0.0319 0.7497 0.0620
0.5000 0.0000 0.0000
0.1731 0.5535 0.3477
0.1736 0.9447 0.3492
0.8264 0.0553 0.6508
0.5000 0.5000 0.0000
0.8269 0.4465 0.6523

GGA-PBE MgSc4Al2, optimized geometry; distance to the lowest polymorph of the same formula = 14.70 kcal/mol of atoms; calculated density = 2.38 g/cm³; energy of formation = 42.2 kJ/mol of atoms
1.0
5.1004 0.0000 0.0000
0.0000 5.1004 0.0000
2.5502 2.5502 6.9323
Sc Mg Al
4 1 2
Direct
0.1960 0.1960 0.6080
0.8040 0.8040 0.3920
0.0000 0.5000 0.0000
0.5000 0.0000 0.0000
0.0000 0.0000 0.0000
0.3971 0.3971 0.2059
0.6029 0.6029 0.7941

GGA-PBE Pa2CuAs2N2, optimized geometry; calculated density = 7.91 g/cm³; raw formation energy = -0.86 eV/atom
1.0
3.8947 0.0000 0.0000
-1.9474 3.3729 0.0000
0.0000 0.0000 11.2418
Pa Cu As N
2 1 2 2
Direct
0.6667 0.3333 0.3692
0.3333 0.6667 0.6308
0.0000 0.0000 0.0000
0.0000 0.0000 0.7990
0.0000 0.0000 0.2010
0.6667 0.3333 0.5750
0.3333 0.6667 0.4250

GGA-PBE BaCdAgCl6, optimized geometry; calculated density = 3.45 g/cm³; raw formation energy = -1.28 eV/atom
1.0
6.6993 -0.3165 -0.1531
3.0867 5.9555 0.1515
-0.1438 0.2497 6.7328
Ba Cd Ag Cl
1 1 1 6
Direct
0.0078 0.0078 0.0000
0.6804 0.6805 0.4999
0.3322 0.3322 0.5000
0.9977 0.3620 0.2983
0.3622 0.9979 0.7019
0.6222 0.3677 0.7241
0.9909 0.6390 0.7549
0.3675 0.6221 0.2759
0.6388 0.9908 0.2448

GGA-PBE NaTlZnPt, optimized geometry; calculated density = 10.72 g/cm³; energy of formation = -13.7 kJ/mol of atoms
1.0
4.7453 0.0000 0.0000
2.3726 4.1095 0.0000
2.3726 1.3698 3.8745
Na Tl Zn Pt
1 1 1 1
Direct
0.7500 0.7500 0.7500
0.5000 0.5000 0.5000
0.0000 0.0000 0.0000
0.2500 0.2500 0.2500

GGA-PBE Y2ZrCo, optimized geometry; distance to the lowest polymorph of the same formula = 0.00 kcal/mol of atoms; calculated density = 5.68 g/cm³; energy of formation = -11.6 kJ/mol of atoms
1.0
-3.5667 -3.1330 -3.9641
-0.0542 -5.2024 4.1604
-7.6054 3.4016 4.1545
Y Zr Co
8 4 4
Direct
0.1783 0.6808 0.0657
0.3217 0.1808 0.4343
0.8217 0.3192 0.5657
0.6783 0.8192 0.9343
0.8217 0.3192 0.9343
0.6783 0.8192 0.5657
0.1783 0.6808 0.4343
0.3217 0.1808 0.0657
0.6486 0.5464 0.2500
0.8514 0.0464 0.2500
0.3514 0.4536 0.7500
0.1486 0.9536 0.7500
0.0192 0.3833 0.2500
0.4808 0.8833 0.2500
0.9808 0.6167 0.7500
0.5192 0.1167 0.7500

What is the calculated density in the second record? 15.88 g/cm³